ReNiF2, relaxed, DFT PBE+U; DFT total energy = -15.838 eV/f.u.; offset from the most stable computed form = 556.2 kJ/mol of formula units
1.0
0.000 2.856 2.856
2.856 0.000 2.856
2.856 2.856 0.000
Re Ni F
1 1 2
Direct
0.000 0.000 0.000
0.500 0.500 0.500
0.250 0.250 0.250
0.750 0.750 0.750